(1)
A geometry-optimized Zr2TiAsH structure. Source: the Alexandria database, functional GGA-PBE.

Space-group type   P4/mmm (123)
Total DFT energy (no corrections)   -7.09 eV per atom

Cell lengths 4.421, 4.421, 3.942 Å; angles 90.00, 90.00, 90.00 degrees
Positions (direct):
Zr 0.000 0.500 0.000
Zr 0.500 0.000 0.000
Ti 0.000 0.000 0.500
As 0.500 0.500 0.500
H 0.000 0.000 0.000

=====

(2)
A geometry-optimized TiCoCu structure. Source: the Alexandria database, functional GGA-PBE.

Calculated formation energy   -0.20 eV per atom
Space-group type   P4/nmm (129)

Cell lengths 3.100, 3.100, 8.077 Å; angles 90.00, 90.00, 90.00 degrees
Positions (direct):
Ti 0.250 0.250 0.234
Ti 0.750 0.750 0.766
Co 0.250 0.250 0.907
Co 0.750 0.750 0.093
Cu 0.250 0.250 0.578
Cu 0.750 0.750 0.422

=====

(3)
A geometry-optimized La6Sm16Er7 structure. Source: the Alexandria database, functional GGA-PBE.

Calculated formation energy   0.21 eV per atom
Space-group type   Fm-3m (225)

Cell lengths 11.319, 11.319, 11.319 Å; angles 60.00, 60.00, 60.00 degrees
Positions (direct):
La 0.219 0.219 0.781
La 0.219 0.781 0.219
La 0.219 0.781 0.781
La 0.781 0.219 0.219
La 0.781 0.219 0.781
La 0.781 0.781 0.219
Sm 0.125 0.625 0.625
Sm 0.153 0.153 0.153
Sm 0.153 0.153 0.541
Sm 0.153 0.541 0.153
Sm 0.375 0.375 0.375
Sm 0.375 0.375 0.875
Sm 0.375 0.875 0.375
Sm 0.459 0.847 0.847
Sm 0.541 0.153 0.153
Sm 0.625 0.125 0.625
Sm 0.625 0.625 0.125
Sm 0.625 0.625 0.625
Sm 0.847 0.459 0.847
Sm 0.847 0.847 0.459
Sm 0.847 0.847 0.847
Sm 0.875 0.375 0.375
Er 0.000 0.000 0.500
Er 0.000 0.500 0.000
Er 0.000 0.500 0.500
Er 0.500 0.000 0.000
Er 0.500 0.000 0.500
Er 0.500 0.500 0.000
Er 0.500 0.500 0.500

=====

(4)
A geometry-optimized Cd4PS2I structure. Source: the Alexandria database, functional GGA-PBE.

Space-group type   Imma (74)
Total DFT energy (no corrections)   -2.58 eV per atom

Cell lengths 8.116, 8.116, 8.116 Å; angles 121.19, 120.31, 88.71 degrees
Positions (direct):
Cd 0.237 0.236 0.001
Cd 0.264 0.234 0.470
Cd 0.264 0.794 0.030
Cd 0.265 0.764 0.501
Cd 0.735 0.236 0.499
Cd 0.736 0.206 0.970
Cd 0.736 0.766 0.530
Cd 0.763 0.764 0.999
P 0.500 0.000 0.000
P 0.500 0.500 0.500
S 0.000 0.000 0.000
S 0.000 0.000 0.500
S 0.000 0.500 0.000
S 0.500 0.000 0.500
I 0.000 0.500 0.500
I 0.500 0.500 0.000